No. 1
A plane-wave DFT calculation with SCAN was carried out for a crystal of ZrSiP2 relaxed with PBEsol.

Cell lengths 6.066, 6.053, 6.066 Å; angles 120.07, 90.00, 120.07 degrees
Atoms (fractional coordinates):
P 0.827 0.250 0.875
P 0.423 0.250 0.375
P 0.625 0.750 0.173
P 0.125 0.750 0.577
Si 0.750 0.500 0.250
Si 0.500 0.000 0.500
Zr 0.250 0.500 0.750
Zr 0.000 0.000 0.000

Values from the calculation:
The value obtained for the raw formation energy is -0.311 eV/atom.

---

No. 2
A plane-wave DFT calculation with SCAN was carried out for a crystal of ZrSiP2 relaxed with PBEsol.

Cell lengths 3.620, 3.649, 5.285 Å; angles 110.39, 90.00, 90.00 degrees
Atoms (fractional coordinates):
P 0.000 0.954 0.947
P 0.500 0.633 0.374
Si 0.000 0.039 0.384
Zr 0.500 0.374 0.795

Values from the calculation:
The value obtained for the raw formation energy is -0.829 eV/atom.

---

No. 3
A plane-wave DFT calculation with SCAN was carried out for a crystal of ZrSiP2 relaxed with PBEsol.

Cell lengths 3.835, 3.835, 5.041 Å; angles 112.36, 112.36, 90.00 degrees
Atoms (fractional coordinates):
P 0.750 0.250 0.500
P 0.250 0.750 0.500
Si 0.000 0.000 0.000
Zr 0.500 0.500 0.000

Values from the calculation:
The value obtained for the raw formation energy is -0.085 eV/atom.

---

No. 4
A plane-wave DFT calculation with SCAN was carried out for a crystal of ZrSiP2 relaxed with PBEsol.

Cell lengths 3.690, 3.690, 5.280 Å; angles 110.45, 110.45, 90.00 degrees
Atoms (fractional coordinates):
P 0.000 0.000 0.000
P 0.750 0.250 0.500
Si 0.500 0.500 0.000
Zr 0.250 0.750 0.500

Values from the calculation:
The value obtained for the raw formation energy is -0.269 eV/atom.

---

No. 5
A plane-wave DFT calculation with SCAN was carried out for a crystal of ZrSi2P relaxed with PBEsol.

Cell lengths 3.346, 4.651, 4.909 Å; angles 118.28, 109.93, 90.00 degrees
Atoms (fractional coordinates):
P 0.278 0.778 0.556
Si 0.996 0.996 0.993
Si 0.724 0.224 0.448
Zr 0.502 0.502 0.003

Values from the calculation:
The value obtained for the raw formation energy is -0.248 eV/atom.

---

No. 6
A plane-wave DFT calculation with SCAN was carried out for a crystal of ZrSiP2 relaxed with PBEsol.

Cell lengths 3.546, 3.665, 5.299 Å; angles 90.68, 109.55, 90.00 degrees
Atoms (fractional coordinates):
P 0.000 0.895 0.000
P 0.285 0.372 0.569
Si 0.506 0.366 0.012
Zr 0.709 0.867 0.419

Values from the calculation:
The value obtained for the raw formation energy is -0.782 eV/atom.

---

The lowest raw formation energy belongs to which entry? number 2